! ZrNb3Ge, PBEsol geometry, DFT meta-GGA SCAN; values from VASP
! total moment = 0.0 Bohr magnetons per cell
! ρ = 6.6 g cm⁻³
! symmetry = No. 221
! calculated formation energy = 1.66 eV/atom
! uncorrected energy = -140.89 eV per formula unit
&SYSTEM
  ibrav = 0, nat = 5, ntyp = 3
/
ATOMIC_SPECIES
Nb 92.91 Nb.upf
Zr 91.22 Zr.upf
Ge 72.64 Ge.upf
CELL_PARAMETERS angstrom
-0.728 0.545 -4.736
4.135 -2.313 -0.902
-2.373 -4.197 -0.118
ATOMIC_POSITIONS crystal
Nb 0.500 0.000 0.000
Nb 0.000 0.500 0.000
Nb 0.000 0.000 0.500
Zr 0.000 0.000 0.000
Ge 0.500 0.500 0.500

! Zr2Nb3Ge4, PBEsol geometry, DFT meta-GGA SCAN; values from VASP
! total moment = 0.0 Bohr magnetons per cell
! ρ = 8.0 g cm⁻³
! symmetry = No. 62
! calculated formation energy = -0.64 eV/atom
! uncorrected energy = -242.87 eV per formula unit
&SYSTEM
  ibrav = 0, nat = 36, ntyp = 3
/
ATOMIC_SPECIES
Ge 72.64 Ge.upf
Zr 91.22 Zr.upf
Nb 92.91 Nb.upf
CELL_PARAMETERS angstrom
-2.671 1.954 -5.935
-3.877 -5.697 -0.131
-9.720 6.466 6.503
ATOMIC_POSITIONS crystal
Ge 0.197 0.526 0.958
Ge 0.047 0.902 0.750
Ge 0.197 0.526 0.542
Ge 0.821 0.342 0.750
Ge 0.953 0.098 0.250
Ge 0.453 0.402 0.250
Ge 0.697 0.974 0.958
Ge 0.321 0.158 0.750
Ge 0.303 0.026 0.458
Ge 0.547 0.598 0.750
Ge 0.679 0.842 0.250
Ge 0.179 0.658 0.250
Ge 0.803 0.474 0.042
Ge 0.697 0.974 0.542
Ge 0.303 0.026 0.042
Ge 0.803 0.474 0.458
Zr 0.351 0.834 0.624
Zr 0.649 0.166 0.124
Zr 0.851 0.666 0.876
Zr 0.149 0.334 0.376
Zr 0.149 0.334 0.124
Zr 0.851 0.666 0.624
Zr 0.351 0.834 0.876
Zr 0.649 0.166 0.376
Nb 0.521 0.322 0.591
Nb 0.479 0.678 0.091
Nb 0.979 0.822 0.091
Nb 0.824 0.496 0.250
Nb 0.479 0.678 0.409
Nb 0.979 0.822 0.409
Nb 0.176 0.504 0.750
Nb 0.324 0.004 0.250
Nb 0.676 0.996 0.750
Nb 0.021 0.178 0.909
Nb 0.021 0.178 0.591
Nb 0.521 0.322 0.909

! Zr2NbGe2, PBEsol geometry, DFT meta-GGA SCAN; values from VASP
! total moment = 0.0 Bohr magnetons per cell
! ρ = 7.8 g cm⁻³
! symmetry = No. 127
! calculated formation energy = -0.87 eV/atom
! uncorrected energy = -137.07 eV per formula unit
&SYSTEM
  ibrav = 0, nat = 10, ntyp = 3
/
ATOMIC_SPECIES
Ge 72.64 Ge.upf
Zr 91.22 Zr.upf
Nb 92.91 Nb.upf
CELL_PARAMETERS angstrom
-2.855 2.389 0.373
-0.981 -0.100 -6.870
-4.377 -5.340 0.703
ATOMIC_POSITIONS crystal
Ge 0.000 0.370 0.870
Ge 0.000 0.870 0.630
Ge 0.000 0.130 0.370
Ge 0.000 0.630 0.130
Zr 0.500 0.174 0.674
Zr 0.500 0.674 0.826
Zr 0.500 0.326 0.174
Zr 0.500 0.826 0.326
Nb 0.000 0.500 0.500
Nb 0.000 0.000 0.000

! Nd5Ge3, PBEsol geometry, DFT meta-GGA SCAN; values from VASP
! total moment = 0.0 Bohr magnetons per cell
! ρ = 7.2 g cm⁻³
! symmetry = No. 193
! calculated formation energy = -0.79 eV/atom
! uncorrected energy = -281.49 eV per formula unit
&SYSTEM
  ibrav = 0, nat = 16, ntyp = 2
/
ATOMIC_SPECIES
Nd 144.24 Nd.upf
Ge 72.64 Ge.upf
CELL_PARAMETERS angstrom
-4.450 -0.994 4.755
-1.732 -7.909 -3.274
6.237 0.957 6.037
ATOMIC_POSITIONS crystal
Nd 0.500 0.667 0.333
Nd 0.750 0.246 0.000
Nd 0.000 0.333 0.667
Nd 0.250 0.754 0.000
Nd 0.500 0.333 0.667
Nd 0.250 0.246 0.246
Nd 0.750 0.000 0.246
Nd 0.750 0.754 0.754
Nd 0.250 0.000 0.754
Nd 0.000 0.667 0.333
Ge 0.250 0.000 0.392
Ge 0.250 0.608 0.608
Ge 0.750 0.608 0.000
Ge 0.750 0.000 0.608
Ge 0.250 0.392 0.000
Ge 0.750 0.392 0.392

! Nd3Ge5, PBEsol geometry, DFT meta-GGA SCAN; values from VASP
! total moment = 0.0 Bohr magnetons per cell
! ρ = 7.3 g cm⁻³
! symmetry = No. 43
! calculated formation energy = -0.83 eV/atom
! uncorrected energy = -232.84 eV per formula unit
&SYSTEM
  ibrav = 0, nat = 16, ntyp = 2
/
ATOMIC_SPECIES
Ge 72.64 Ge.upf
Nd 144.24 Nd.upf
CELL_PARAMETERS angstrom
5.866 0.000 0.000
2.933 6.976 0.000
2.933 0.000 8.796
ATOMIC_POSITIONS crystal
Ge 0.624 0.312 0.358
Ge 0.512 0.671 0.327
Ge 0.063 0.312 0.642
Ge 0.304 0.392 0.000
Ge 0.817 0.671 0.673
Ge 0.089 0.171 0.173
Ge 0.956 0.812 0.858
Ge 0.232 0.812 0.142
Ge 0.740 0.171 0.827
Ge 0.554 0.892 0.500
Nd 0.659 0.009 0.162
Nd 0.002 0.996 0.500
Nd 0.071 0.509 0.338
Nd 0.420 0.509 0.662
Nd 0.752 0.496 0.000
Nd 0.332 0.009 0.838

! NdGe2, PBEsol geometry, DFT meta-GGA SCAN; values from VASP
! total moment = 0.0 Bohr magnetons per cell
! ρ = 7.2 g cm⁻³
! symmetry = No. 141
! calculated formation energy = -0.70 eV/atom
! uncorrected energy = -83.87 eV per formula unit
&SYSTEM
  ibrav = 0, nat = 6, ntyp = 2
/
ATOMIC_SPECIES
Nd 144.24 Nd.upf
Ge 72.64 Ge.upf
CELL_PARAMETERS angstrom
-3.644 0.669 1.670
-1.688 -2.577 -2.651
3.902 -5.146 5.632
ATOMIC_POSITIONS crystal
Nd 0.250 0.750 0.500
Nd 0.000 0.000 0.000
Ge 0.829 0.329 0.659
Ge 0.579 0.579 0.159
Ge 0.671 0.171 0.341
Ge 0.421 0.421 0.841

! NdGe, PBEsol geometry, DFT meta-GGA SCAN; values from VASP
! total moment = 0.0 Bohr magnetons per cell
! ρ = 7.4 g cm⁻³
! symmetry = No. 63
! calculated formation energy = -0.94 eV/atom
! uncorrected energy = -64.56 eV per formula unit
&SYSTEM
  ibrav = 0, nat = 4, ntyp = 2
/
ATOMIC_SPECIES
Ge 72.64 Ge.upf
Nd 144.24 Nd.upf
CELL_PARAMETERS angstrom
4.004 0.000 0.000
0.000 4.426 0.000
0.000 2.213 5.478
ATOMIC_POSITIONS crystal
Ge 0.750 0.580 0.840
Ge 0.250 0.420 0.160
Nd 0.750 0.861 0.278
Nd 0.250 0.139 0.722

! Nd5Ge4, PBEsol geometry, DFT meta-GGA SCAN; values from VASP
! total moment = 0.0 Bohr magnetons per cell
! ρ = 7.2 g cm⁻³
! symmetry = No. 62
! calculated formation energy = -0.91 eV/atom
! uncorrected energy = -302.41 eV per formula unit
&SYSTEM
  ibrav = 0, nat = 36, ntyp = 2
/
ATOMIC_SPECIES
Ge 72.64 Ge.upf
Nd 144.24 Nd.upf
CELL_PARAMETERS angstrom
7.814 0.000 0.000
0.000 7.925 0.000
0.000 0.000 14.971
ATOMIC_POSITIONS crystal
Ge 0.718 0.034 0.956
Ge 0.583 0.392 0.750
Ge 0.782 0.534 0.044
Ge 0.218 0.466 0.544
Ge 0.782 0.534 0.456
Ge 0.319 0.867 0.750
Ge 0.218 0.466 0.956
Ge 0.181 0.367 0.250
Ge 0.282 0.966 0.044
Ge 0.417 0.608 0.250
Ge 0.718 0.034 0.544
Ge 0.819 0.633 0.750
Ge 0.681 0.133 0.250
Ge 0.083 0.108 0.750
Ge 0.917 0.892 0.250
Ge 0.282 0.966 0.456
Nd 0.123 0.661 0.384
Nd 0.709 0.002 0.750
Nd 0.877 0.339 0.616
Nd 0.019 0.819 0.601
Nd 0.623 0.839 0.384
Nd 0.377 0.161 0.884
Nd 0.623 0.839 0.116
Nd 0.209 0.498 0.750
Nd 0.123 0.661 0.116
Nd 0.981 0.181 0.399
Nd 0.519 0.681 0.899
Nd 0.291 0.998 0.250
Nd 0.981 0.181 0.101
Nd 0.019 0.819 0.899
Nd 0.791 0.502 0.250
Nd 0.481 0.319 0.399
Nd 0.877 0.339 0.884
Nd 0.519 0.681 0.601
Nd 0.481 0.319 0.101
Nd 0.377 0.161 0.616

! NdNiGe, PBEsol geometry, DFT meta-GGA SCAN; values from VASP
! total moment = 0.0 Bohr magnetons per cell
! ρ = 8.4 g cm⁻³
! symmetry = No. 62
! calculated formation energy = -0.76 eV/atom
! uncorrected energy = -81.14 eV per formula unit
&SYSTEM
  ibrav = 0, nat = 12, ntyp = 3
/
ATOMIC_SPECIES
Ni 58.69 Ni.upf
Nd 144.24 Nd.upf
Ge 72.64 Ge.upf
CELL_PARAMETERS angstrom
4.309 0.000 0.000
0.000 7.166 0.000
0.000 0.000 7.093
ATOMIC_POSITIONS crystal
Ni 0.750 0.322 0.918
Ni 0.250 0.678 0.082
Ni 0.750 0.822 0.582
Ni 0.250 0.178 0.418
Nd 0.250 0.982 0.806
Nd 0.750 0.518 0.306
Nd 0.750 0.018 0.194
Nd 0.250 0.482 0.694
Ge 0.750 0.686 0.907
Ge 0.750 0.186 0.593
Ge 0.250 0.314 0.093
Ge 0.250 0.814 0.407

! NdNiGe3, PBEsol geometry, DFT meta-GGA SCAN; values from VASP
! total moment = 0.0 Bohr magnetons per cell
! ρ = 7.7 g cm⁻³
! symmetry = No. 65
! calculated formation energy = -0.69 eV/atom
! uncorrected energy = -120.45 eV per formula unit
&SYSTEM
  ibrav = 0, nat = 10, ntyp = 3
/
ATOMIC_SPECIES
Ni 58.69 Ni.upf
Nd 144.24 Nd.upf
Ge 72.64 Ge.upf
CELL_PARAMETERS angstrom
4.094 0.000 0.000
0.000 4.110 0.000
-2.047 0.000 10.817
ATOMIC_POSITIONS crystal
Ni 0.391 0.000 0.782
Ni 0.609 0.000 0.218
Nd 0.169 0.500 0.337
Nd 0.831 0.500 0.663
Ge 0.716 0.000 0.432
Ge 0.943 0.000 0.886
Ge 0.057 0.000 0.114
Ge 0.284 0.000 0.568
Ge 0.443 0.500 0.886
Ge 0.557 0.500 0.114